Record 1
The following is a PBE-GGA calculation of crystalline Ho2Zn2Ni at its relaxed geometry, from Alexandria. Values from VASP.

Quantum ESPRESSO input file:
```
&SYSTEM
  ibrav = 0, nat = 10, ntyp = 3
/
ATOMIC_SPECIES
Zn 65.41 Zn.upf
Ho 164.93 Ho.upf
Ni 58.69 Ni.upf
ATOMIC_POSITIONS crystal
Zn 0.8761 0.7985 0.4494
Zn 0.1239 0.2015 0.5506
Zn 0.6374 0.8329 0.8922
Zn 0.3626 0.1671 0.1078
Ho 0.6663 0.3329 0.3345
Ho 0.3337 0.6671 0.6655
Ho 0.9311 0.2627 0.8751
Ho 0.0689 0.7373 0.1249
Ni 0.3813 0.9229 0.3144
Ni 0.6187 0.0771 0.6856
CELL_PARAMETERS angstrom
-2.6715 -2.0334 1.7462
1.8906 -1.7771 4.9236
-5.6487 7.6207 4.3328
```

Raw total energy   -19.431 eV/f.u.
Size of the total moment   0.000 μB/f.u.
DFT formation energy   -389 meV/atom
Fermi-level density of states   0.7210 states/eV per atom

=====

Record 2
The following is a PBE-GGA calculation of crystalline NdSn6Pd at its relaxed geometry, from Alexandria. Values from VASP.

Quantum ESPRESSO input file:
```
&SYSTEM
  ibrav = 0, nat = 8, ntyp = 3
/
ATOMIC_SPECIES
Sn 118.71 Sn.upf
Nd 144.24 Nd.upf
Pd 106.42 Pd.upf
ATOMIC_POSITIONS crystal
Sn 0.8205 0.2532 0.7189
Sn 0.7328 0.7328 0.8275
Sn 0.2672 0.2672 0.1725
Sn 0.2532 0.8205 0.7189
Sn 0.7468 0.1795 0.2811
Sn 0.1795 0.7468 0.2811
Nd 0.5000 0.5000 0.5000
Pd 0.0000 0.0000 0.0000
CELL_PARAMETERS angstrom
6.4429 -0.9333 0.4761
-0.4466 6.4948 0.4761
2.2922 2.1260 5.4968
```

Raw total energy   -36.078 eV/f.u.
Size of the total moment   0.000 μB/f.u.
DFT formation energy   -263 meV/atom
Fermi-level density of states   0.4508 states/eV per atom

=====

Record 3
The following is a PBE-GGA calculation of crystalline Ho3Np2S8 at its relaxed geometry, from Alexandria. Values from VASP.

Quantum ESPRESSO input file:
```
&SYSTEM
  ibrav = 0, nat = 13, ntyp = 3
/
ATOMIC_SPECIES
S 32.06 S.upf
Np 237.00 Np.upf
Ho 164.93 Ho.upf
ATOMIC_POSITIONS crystal
S 0.0000 0.6274 0.2547
S 0.0000 0.3726 0.7453
S 0.5000 0.6354 0.7525
S 0.5000 0.8828 0.2475
S 0.5000 0.1172 0.7525
S 0.0000 0.8795 0.7587
S 0.0000 0.1205 0.2413
S 0.5000 0.3646 0.2475
Np 0.5000 0.2618 0.5236
Np 0.5000 0.7382 0.4764
Ho 0.5000 0.0000 0.0000
Ho 0.0000 0.2825 0.9997
Ho 0.0000 0.7175 0.0003
CELL_PARAMETERS angstrom
4.6040 0.0000 0.0000
0.0000 8.2577 -4.7496
0.0000 -0.8103 8.1566
```

Raw total energy   -93.220 eV/f.u.
Size of the total moment   7.012 μB/f.u.
Fermi-level density of states   1.5566 states/eV per atom

=====

Record 4
The following is a PBE-GGA calculation of crystalline TlTcPt2 at its relaxed geometry, from Alexandria. Values from VASP.

Quantum ESPRESSO input file:
```
&SYSTEM
  ibrav = 0, nat = 4, ntyp = 3
/
ATOMIC_SPECIES
Pt 195.08 Pt.upf
Tl 204.38 Tl.upf
Tc 98.00 Tc.upf
ATOMIC_POSITIONS crystal
Pt 0.0000 0.0000 0.0152
Pt 0.5000 0.5000 0.2649
Tl 0.5000 0.5000 0.7473
Tc 0.0000 0.0000 0.4726
CELL_PARAMETERS angstrom
-2.2047 0.9151 -1.7447
1.6749 -0.5078 -2.3830
-2.7486 -7.3282 -0.3702
```

Raw total energy   -23.993 eV/f.u.
Size of the total moment   0.000 μB/f.u.
Distance to the lowest polymorph of the same formula   116 meV/atom
DFT formation energy   205 meV/atom
Fermi-level density of states   0.8881 states/eV per atom

=====

Record 5
The following is a PBE-GGA calculation of crystalline TlSnP2 at its relaxed geometry, from Alexandria. Values from VASP.

Quantum ESPRESSO input file:
```
&SYSTEM
  ibrav = 0, nat = 8, ntyp = 3
/
ATOMIC_SPECIES
P 30.97 P.upf
Tl 204.38 Tl.upf
Sn 118.71 Sn.upf
ATOMIC_POSITIONS crystal
P 0.1502 0.6250 0.2500
P 0.5998 0.1250 0.2500
P 0.3750 0.4002 0.7500
P 0.8750 0.8498 0.7500
Tl 0.7500 0.2500 0.5000
Tl 0.0000 0.0000 0.0000
Sn 0.2500 0.7500 0.5000
Sn 0.5000 0.5000 0.0000
CELL_PARAMETERS angstrom
-5.7259 1.3951 2.2356
-1.2380 -6.1446 0.6636
-1.2788 -2.2197 6.9956
```

Raw total energy   -16.463 eV/f.u.
Size of the total moment   0.000 μB/f.u.
Distance to the lowest polymorph of the same formula   39 meV/atom
DFT formation energy   181 meV/atom
Fermi-level density of states   0.4634 states/eV per atom

=====

Record 6
The following is a PBE-GGA calculation of crystalline Y4P2SeS at its relaxed geometry, from Alexandria. Values from VASP.

Quantum ESPRESSO input file:
```
&SYSTEM
  ibrav = 0, nat = 8, ntyp = 4
/
ATOMIC_SPECIES
Se 78.96 Se.upf
Y 88.91 Y.upf
S 32.06 S.upf
P 30.97 P.upf
ATOMIC_POSITIONS crystal
Se 0.5000 0.5000 0.0000
Y 0.5000 0.7495 0.7359
Y 0.5000 0.2505 0.2641
Y 0.0000 0.7605 0.2679
Y 0.0000 0.2395 0.7321
S 0.0000 0.0000 0.0000
P 0.0000 0.5000 0.5000
P 0.5000 0.0000 0.5000
CELL_PARAMETERS angstrom
-2.7053 -1.9724 -2.1917
0.4291 -5.3958 4.3263
-4.9943 4.3680 2.2337
```

Raw total energy   -58.942 eV/f.u.
Size of the total moment   0.000 μB/f.u.
Fermi-level density of states   0.4129 states/eV per atom

=====

Record 7
The following is a PBE-GGA calculation of crystalline LiCuP2 at its relaxed geometry, from Alexandria. Values from VASP.

Quantum ESPRESSO input file:
```
&SYSTEM
  ibrav = 0, nat = 4, ntyp = 3
/
ATOMIC_SPECIES
Li 6.94 Li.upf
Cu 63.55 Cu.upf
P 30.97 P.upf
ATOMIC_POSITIONS crystal
Li 0.7500 0.2500 0.5000
Cu 0.2500 0.7500 0.5000
P 0.0000 0.0000 0.0000
P 0.5000 0.5000 0.0000
CELL_PARAMETERS angstrom
4.5392 -0.0067 0.0000
1.2765 4.3560 0.0000
-2.9079 -2.1747 2.7239
```

Raw total energy   -16.733 eV/f.u.
Size of the total moment   0.000 μB/f.u.
Distance to the lowest polymorph of the same formula   189 meV/atom
DFT formation energy   24 meV/atom
Fermi-level density of states   0.3981 states/eV per atom

=====

Record 8
The following is a PBE-GGA calculation of crystalline PuSc6Ru5 at its relaxed geometry, from Alexandria. Values from VASP.

Quantum ESPRESSO input file:
```
&SYSTEM
  ibrav = 0, nat = 12, ntyp = 3
/
ATOMIC_SPECIES
Ru 101.07 Ru.upf
Sc 44.96 Sc.upf
Pu 244.00 Pu.upf
ATOMIC_POSITIONS crystal
Ru 0.3433 0.0000 0.6909
Ru 0.3329 0.5000 0.6663
Ru 0.6671 0.5000 0.3337
Ru 0.6567 0.0000 0.3091
Ru 0.0000 0.5000 0.0000
Sc 0.5000 0.2791 0.0000
Sc 0.8236 0.7389 0.6481
Sc 0.1764 0.7389 0.3519
Sc 0.1764 0.2611 0.3519
Sc 0.5000 0.7209 0.0000
Sc 0.8236 0.2611 0.6481
Pu 0.0000 0.0000 0.0000
CELL_PARAMETERS angstrom
4.4850 0.0019 -0.9301
-0.0029 6.6561 -0.0007
-0.8111 0.0004 7.2949
```

Raw total energy   -103.490 eV/f.u.
Size of the total moment   5.422 μB/f.u.
DFT formation energy   -399 meV/atom
Fermi-level density of states   0.9921 states/eV per atom